# 1
Nd3ErGa3 | PBE | optimized geometry

Results
Raw total energy: -4.352 eV/atom
D(E_F): 5.504 states/eV/f.u.
ΔH_f (0 K): -0.3597 eV per atom

Cell lengths 9.3583, 9.3583, 4.8726 Å; angles 90.00, 90.00, 120.00 degrees
Space group P6_3/m (No. 176)
Symmetry-distinct sites (fractional):
Nd 0.0156 0.2588 0.2500
Er 0.3333 0.6667 0.7500
Ga 0.0620 0.6066 0.2500

# 2
HoSb2Rh5 | PBE | optimized geometry

Results
Formation energy (no corrections): -3.7 eV/f.u.
Raw total energy: -6.659 eV/atom
D(E_F): 7.724 states/eV/f.u.

Cell lengths 3.8473, 7.2143, 10.5912 Å; angles 90.00, 90.00, 90.00 degrees
Space group Immm (No. 71)
Symmetry-distinct sites (fractional):
Ho 0.0000 0.0000 0.0000
Sb 0.0000 0.5000 0.2454
Rh 0.0000 0.1995 0.3684
Rh 0.0000 0.5000 0.0000

# 3
TbTmThZn | PBE | optimized geometry

Results
Raw total energy: -4.374 eV/atom
D(E_F): 7.577 states/eV/f.u.
ΔH_f (0 K): 0.0750 eV per atom

Cell lengths 7.5719, 7.5719, 7.5719 Å; angles 90.00, 90.00, 90.00 degrees
Space group F-43m (No. 216)
Symmetry-distinct sites (fractional):
Tb 0.0000 0.0000 0.0000
Tm 0.2500 0.2500 0.2500
Th 0.0000 0.0000 0.5000
Zn 0.2500 0.2500 0.7500

# 4
ScBe2Al | PBE | optimized geometry

Results
Raw total energy: -4.446 eV/atom
D(E_F): 1.875 states/eV/f.u.
ΔH_f (0 K): -0.0639 eV per atom

Cell lengths 3.7680, 3.1369, 9.5181 Å; angles 90.00, 90.00, 90.00 degrees
Space group Amm2 (No. 38)
Symmetry-distinct sites (fractional):
Sc 0.0000 0.0000 0.0000
Be 0.0000 0.0000 0.2755
Be 0.5000 0.0000 0.3922
Al 0.5000 0.0000 0.6933